# 1
The following is a PBEsol calculation of crystalline SrPt2C at its relaxed geometry, from Alexandria.

Cell: 5.1928 5.1928 7.1911 Å, 111.17 111.17 90.00°
Last column: nearest neighbours and their distance in Å.
Element x y z (fractional)
Sr 0.2500 0.7500 0.5000  8 Pt 3.29, 4 C 3.67
Sr 0.0000 0.0000 0.0000  8 Pt 3.29, 4 C 3.67
C 0.7500 0.2500 0.5000  4 Pt 2.02
C 0.5000 0.5000 0.0000  4 Pt 2.02
Pt 0.6250 0.3750 0.7500  2 C 2.02
Pt 0.1250 0.3750 0.7500  2 C 2.02
Pt 0.6250 0.8750 0.2500  2 C 2.02
Pt 0.6250 0.3750 0.2500  2 C 2.02

Properties
**DFT formation energy**: -0.1245 eV/atom
**Crystal system**: tetragonal



# 2
The following is a PBEsol calculation of crystalline TePt2C at its relaxed geometry, from Alexandria.

Cell: 4.8921 4.8921 6.9144 Å, 110.72 110.72 90.00°
Last column: nearest neighbours and their distance in Å.
Element x y z (fractional)
C 0.7500 0.2500 0.5000  4 Pt 2.04
C 0.5000 0.5000 0.0000  4 Pt 2.04
Pt 0.7579 0.3750 0.2500  2 C 2.04
Pt 0.6250 0.5079 0.7500  2 C 2.04
Pt 0.4921 0.8750 0.2500  2 C 2.04
Pt 0.1250 0.2421 0.7500  2 C 2.04
Te 0.2500 0.7500 0.5000  4 Pt 2.64
Te 0.0000 0.0000 0.0000  4 Pt 2.64

Properties
**Crystal system**: tetragonal
**ΔE_f (raw)**: 37.47 kJ per mole of atoms